1.
# TbIn5Rh6 PBE relaxed
data_TbIn5Rh6
_symmetry_space_group_name_H-M 'C m m m'
_symmetry_Int_Tables_number 65
_symmetry_space_group_name_Hall '-C 2 2'
_cell_length_a 4.553
_cell_length_b 13.652
_cell_length_c 6.726
_cell_angle_alpha 90.00
_cell_angle_beta 90.00
_cell_angle_gamma 90.00
loop_
_atom_site_label
_atom_site_fract_x
_atom_site_fract_y
_atom_site_fract_z
_atom_site_occupancy
Tb1 0.000 0.000 0.000 1
In1 0.000 0.000 0.500 1
In2 0.000 0.334 0.000 1
In3 0.000 0.334 0.500 1
Rh1 0.000 0.170 0.255 1
Rh2 0.000 0.500 0.262 1
# Energy of formation from the pure elements: -0.54 eV per atom

***

2.
# GePPd2 PBE relaxed
data_GePPd2
_symmetry_space_group_name_H-M 'I -4 2 d'
_symmetry_Int_Tables_number 122
_symmetry_space_group_name_Hall 'I -4 2bw'
_cell_length_a 4.175
_cell_length_b 4.175
_cell_length_c 15.667
_cell_angle_alpha 90.00
_cell_angle_beta 90.00
_cell_angle_gamma 90.00
loop_
_atom_site_label
_atom_site_fract_x
_atom_site_fract_y
_atom_site_fract_z
_atom_site_occupancy
Ge1 0.000 0.000 0.000 1
P1 0.000 0.000 0.500 1
Pd1 0.228 0.250 0.625 1
# Energy of formation from the pure elements: -0.25 eV per atom

***

3.
The following is a PBE calculation of an optimized crystal structure of HfCo3H6, from Alexandria.

Structure (CIF):
```
data_HfCo3H6
_symmetry_space_group_name_H-M 'R 3'
_symmetry_Int_Tables_number 146
_symmetry_space_group_name_Hall 'R 3'
_cell_length_a 4.3595
_cell_length_b 4.3595
_cell_length_c 12.4207
_cell_angle_alpha 90.00
_cell_angle_beta 90.00
_cell_angle_gamma 120.00
loop_
_atom_site_label
_atom_site_fract_x
_atom_site_fract_y
_atom_site_fract_z
_atom_site_occupancy
Hf1 0.0000 0.0000 0.0000 1
Co1 0.0000 0.0000 0.2183 1
Co2 0.0000 0.0000 0.5677 1
Co3 0.0000 0.0000 0.7923 1
H1 0.0112 0.5131 0.9826 1
H2 0.0531 0.3429 0.1399 1
```

***

| no. | total energy (eV for the cell shown) | mass density (g cm⁻³) |
| --- | --- | --- |
| 1 | -137.87 | 10.728 |
| 2 | -85.68 | 7.698 |
| 3 | -159.18 | 8.805 |